Density functional theory data (PBE) for a relaxed ZrSeBr3 crystal.

Lattice parameters (Å, degrees): 5.3399 5.3399 5.3399 90.00 90.00 90.00
Each line ends with the local moment (μB).
Positions (direct):
Se (0.5000, 0.5000, 0.5000)  0.94
Br (0.0000, 0.5000, 0.0000)  0.03
Br (0.0000, 0.0000, 0.5000)  0.06
Br (0.5000, 0.0000, 0.0000)  0.05
Zr (0.0000, 0.0000, 0.0000)  -0.22

Computed properties:
**Energy relative to the elements, uncorrected**: -433.7 meV per atom
**Density**: 4.47 g/cm3
**Energy**: -19.22 eV for the cell shown


Density functional theory data (PBE) for a relaxed Zr2SeBr crystal.

Lattice parameters (Å, degrees): 8.6846 8.6846 8.6846 22.63 22.63 22.63
Each line ends with the local moment (μB).
Positions (direct):
Br (0.2500, 0.2500, 0.2500)  0.01
Se (0.7500, 0.7500, 0.7500)  -0.01
Zr (0.0066, 0.0066, 0.0066)  0.26
Zr (0.4934, 0.4934, 0.4934)  0.26

Computed properties:
**Energy relative to the elements, uncorrected**: -686.0 meV per atom
**Offset from the most stable computed form**: 0.219 eV per atom
**Density**: 6.66 g/cm3
**Energy**: -25.00 eV for the cell shown


Density functional theory data (PBE) for a relaxed ZrSe2Br crystal.

Lattice parameters (Å, degrees): 5.2231 5.2231 7.4485 72.32 72.32 40.98
Each line ends with the local moment (μB).
Positions (direct):
Br (0.8342, 0.8342, 0.6597)  0.03
Se (0.9972, 0.9972, 0.1121)  0.32
Se (0.1900, 0.1900, 0.3469)  0.23
Zr (0.4787, 0.4787, 0.3813)  0.00

Computed properties:
**Energy relative to the elements, uncorrected**: -969.9 meV per atom
**Offset from the most stable computed form**: 0.000 eV per atom
**Density**: 4.33 g/cm3
**Energy**: -21.07 eV for the cell shown


Density functional theory data (PBE) for a relaxed ZrSe2Br crystal.

Lattice parameters (Å, degrees): 6.8305 6.8305 6.8305 150.74 132.94 56.38
Positions (direct):
Br (0.2500, 0.7500, 0.5000)
Se (0.9174, 0.9174, 0.0000)
Se (0.5826, 0.5826, 0.0000)
Zr (0.7500, 0.2500, 0.5000)

Computed properties:
**Energy relative to the elements, uncorrected**: -626.8 meV per atom
**Offset from the most stable computed form**: 0.343 eV per atom
**Density**: 4.82 g/cm3
**Energy**: -19.70 eV for the cell shown


Density functional theory data (PBE) for a relaxed ZrSe3Br crystal.

Lattice parameters (Å, degrees): 5.0478 5.0478 5.0478 90.00 90.00 90.00
Positions (direct):
Se (0.0000, 0.5000, 0.0000)
Se (0.0000, 0.0000, 0.5000)
Se (0.5000, 0.0000, 0.0000)
Br (0.0000, 0.0000, 0.0000)
Zr (0.5000, 0.5000, 0.5000)

Computed properties:
**Energy relative to the elements, uncorrected**: 682.7 meV per atom
**Offset from the most stable computed form**: 0.952 eV per atom
**Density**: 5.27 g/cm3
**Energy**: -17.26 eV for the cell shown


Density functional theory data (PBE) for a relaxed ZrSeBr3 crystal.

Lattice parameters (Å, degrees): 5.4132 5.4132 5.4132 90.00 90.00 90.00
Each line ends with the local moment (μB).
Positions (direct):
Se (0.0000, 0.0000, 0.0000)  0.03
Br (0.0000, 0.5000, 0.0000)  -0.01
Br (0.0000, 0.0000, 0.5000)  -0.01
Br (0.5000, 0.0000, 0.0000)  0.00
Zr (0.5000, 0.5000, 0.5000)  1.70

Computed properties:
**Energy relative to the elements, uncorrected**: 504.4 meV per atom
**Density**: 4.29 g/cm3
**Energy**: -14.53 eV for the cell shown


What did the fifth record say?
Density functional theory data (PBE) for a relaxed ZrSe3Br crystal.

Lattice parameters (Å, degrees): 5.0478 5.0478 5.0478 90.00 90.00 90.00
Positions (direct):
Se (0.0000, 0.5000, 0.0000)
Se (0.0000, 0.0000, 0.5000)
Se (0.5000, 0.0000, 0.0000)
Br (0.0000, 0.0000, 0.0000)
Zr (0.5000, 0.5000, 0.5000)

Computed properties:
**Energy relative to the elements, uncorrected**: 682.7 meV per atom
**Offset from the most stable computed form**: 0.952 eV per atom
**Density**: 5.27 g/cm3
**Energy**: -17.26 eV for the cell shown


Which of these has the lowest energy relative to the elements, uncorrected?
number 3


What is the formula in the fifth record?
ZrSe3Br